1.
A geometry-optimized K4Sr2SnAs4 structure, computed with GGA-PBE.

extended XYZ file:
```
66
Lattice="18.2810 0.0000 0.0000 -9.1405 15.8318 0.0000 0.0000 0.0000 7.7316" Properties=species:S:1:pos:R:3 pbc="T T T"
K -1.2308 2.1317 0.0000
K -4.2837 7.4197 2.5320
K -4.8568 8.4122 6.3978
K -7.9098 13.7001 3.8658
K 2.4615 0.0000 0.0000
K 1.2308 2.1317 3.8658
K -1.4518 8.2878 0.1321
K -2.6889 10.4307 3.9979
K 1.4518 8.2878 3.9979
K -1.2372 12.9452 0.1321
K 8.5675 0.0000 2.5320
K 4.2837 7.4197 6.3978
K 2.6889 10.4307 0.1321
K 1.2372 12.9452 3.9979
K 7.9033 2.8866 0.1321
K 6.4516 5.4012 3.9979
K 9.7136 0.0000 6.3978
K 4.8568 8.4122 2.5320
K 10.3777 2.8866 3.9979
K 7.6888 7.5440 0.1321
K 11.8295 5.4012 0.1321
K 10.5923 7.5440 3.9979
K 15.8195 0.0000 3.8658
K 7.9098 13.7001 0.0000
Sr -0.4504 5.2319 2.5114
Sr -4.8347 12.8258 6.3772
Sr 0.4504 5.2319 6.3772
Sr -4.3843 13.6059 2.5114
Sr 4.7562 2.2259 2.5114
Sr 4.3058 3.0060 6.3772
Sr 4.8347 12.8258 2.5114
Sr 4.3843 13.6059 6.3772
Sr 13.5249 2.2259 6.3772
Sr 8.6902 10.5999 2.5114
Sr 13.9752 3.0060 2.5114
Sr 9.5909 10.5999 6.3772
Sn -3.0337 5.2546 5.4603
Sn -6.1068 10.5773 1.5945
Sn 6.0674 0.0000 5.4603
Sn 3.0337 5.2546 1.5945
Sn 12.2136 0.0000 1.5945
Sn 6.1068 10.5773 5.4603
As -1.7763 3.0767 4.5310
As -2.9090 5.0385 0.4102
As -6.2315 10.7933 4.2760
As -7.3642 12.7552 0.6652
As -1.5864 7.3230 4.6422
As -3.5918 10.7965 0.7764
As 3.5526 0.0000 4.5310
As 1.7763 3.0767 0.6652
As 5.8180 0.0000 0.4102
As 2.9090 5.0385 4.2760
As 1.5864 7.3230 0.7764
As -2.0054 13.5442 4.6422
As 7.1351 2.2877 4.6422
As 5.5487 5.0354 0.7764
As 3.5918 10.7965 4.6422
As 2.0054 13.5442 0.7764
As 12.4630 0.0000 4.2760
As 11.1459 2.2877 0.7764
As 7.5541 8.5088 4.6422
As 6.2315 10.7933 0.4102
As 14.7284 0.0000 0.6652
As 7.3642 12.7552 4.5310
As 12.7323 5.0354 4.6422
As 10.7269 8.5088 0.7764
```

ΔE to the lowest computed polymorph in eV/f.u.: 0.00
Symmetry: P6_3cm (185)


2.
A geometry-optimized Tb8ZnRh2 structure, computed with GGA-PBE.

extended XYZ file:
```
11
Lattice="4.2670 -6.6388 0.0000 4.2670 6.6388 0.0000 -1.4603 0.0000 5.3421" Properties=species:S:1:pos:R:3 pbc="T T T"
Tb 0.0000 0.0000 0.0000
Tb 0.6205 1.6814 3.2728
Tb 2.9816 3.1735 1.0129
Tb 0.6205 -1.6814 3.2728
Tb 3.8881 1.6797 4.0967
Tb 2.9816 -3.1735 1.0129
Tb 3.8881 -1.6797 4.0967
Tb 5.9826 0.0000 2.0295
Zn 3.0089 0.0000 0.9733
Rh 2.2576 3.9843 3.6877
Rh 2.2576 -3.9843 3.6877
```

Symmetry: Cm (8)


3.
A geometry-optimized ZrB structure, computed with GGA-PBE.

extended XYZ file:
```
4
Lattice="-1.5734 3.1527 3.0966 1.5734 -3.1527 3.0966 1.5734 3.1527 -3.0966" Properties=species:S:1:pos:R:3 pbc="T T T"
Zr 0.0000 0.0000 0.0000
Zr 0.0000 3.1527 0.0000
B 1.5734 1.5764 1.1849
B 0.0000 1.5764 1.9117
```

Symmetry: Imma (74)


4.
A geometry-optimized Ag2OsSe structure, computed with GGA-PBE.

extended XYZ file:
```
4
Lattice="4.4069 -1.5126 0.0000 4.4069 1.5126 0.0000 -0.9592 0.0000 5.3158" Properties=species:S:1:pos:R:3 pbc="T T T"
Ag 0.0000 0.0000 0.0000
Ag 1.4236 0.0000 4.0955
Os 3.9417 0.0000 2.4818
Se 6.5279 0.0000 1.7969
```

Symmetry: Cm (8)


5.
A geometry-optimized Nd3Er4S8 structure, computed with GGA-PBE.

extended XYZ file:
```
15
Lattice="5.5947 -5.5991 0.0000 5.5947 5.5991 0.0000 -5.5464 0.0000 5.6033" Properties=species:S:1:pos:R:3 pbc="T T T"
Nd 0.0000 0.0000 0.0000
Nd 2.7974 2.7995 0.0000
Nd 2.7974 -2.7995 0.0000
Er 0.0241 2.7995 2.8016
Er 0.0241 -2.7995 2.8016
Er 5.5947 0.0000 0.0000
Er 2.8215 0.0000 2.8016
S 2.8215 2.7522 2.8016
S 5.5947 2.7306 0.0000
S 0.0627 0.0000 2.8676
S 2.8672 0.0000 0.0575
S 2.7758 0.0000 5.5458
S 5.5803 0.0000 2.7357
S 5.5947 -2.7306 0.0000
S 2.8215 -2.7522 2.8016
```

Symmetry: C2/m (12)


6.
A geometry-optimized Nd2Si2Tc structure, computed with GGA-PBE.

extended XYZ file:
```
10
Lattice="5.6277 -2.1311 0.0000 5.6277 2.1311 0.0000 -5.2576 0.0000 9.1152" Properties=species:S:1:pos:R:3 pbc="T T T"
Nd -0.8762 0.0000 1.6279
Nd -1.0591 0.0000 5.5433
Nd 7.0568 0.0000 3.5719
Nd 6.8739 0.0000 7.4873
Si -1.0333 0.0000 8.5370
Si 3.5929 0.0000 3.4337
Si 2.4048 0.0000 5.6814
Si 7.0309 0.0000 0.5782
Tc 2.4566 0.0000 1.1547
Tc 3.5410 0.0000 7.9605
```

ΔE to the lowest computed polymorph in eV/f.u.: 0.00
Symmetry: C2/m (12)


7.
A geometry-optimized KLiGa2Pd structure, computed with GGA-PBE.

extended XYZ file:
```
5
Lattice="4.8602 0.0000 0.0000 0.0000 4.8602 0.0000 0.0000 0.0000 5.1795" Properties=species:S:1:pos:R:3 pbc="T T T"
K 0.0000 0.0000 0.0000
Li 2.4301 2.4301 0.0000
Ga 0.0000 2.4301 2.5897
Ga 2.4301 0.0000 2.5897
Pd 2.4301 2.4301 2.5897
```

Symmetry: P4/mmm (123)


8.
A geometry-optimized Er4Zn2H structure, computed with GGA-PBE.

extended XYZ file:
```
7
Lattice="-2.3019 2.3019 7.3230 2.3019 -2.3019 7.3230 2.3019 2.3019 -7.3230" Properties=species:S:1:pos:R:3 pbc="T T T"
Er 2.3019 0.0000 0.0000
Er 0.0000 0.0000 2.6872
Er 0.0000 2.3019 0.0000
Er 0.0000 0.0000 11.9588
Zn 0.0000 0.0000 5.4849
Zn 0.0000 0.0000 9.1611
H 0.0000 0.0000 0.0000
```

Symmetry: I4/mmm (139)


9.
A geometry-optimized Hf6Zn2Os structure, computed with GGA-PBE.

extended XYZ file:
```
18
Lattice="5.3954 0.0000 0.0000 0.0000 7.9717 0.0000 -4.1879 0.0000 8.4472" Properties=species:S:1:pos:R:3 pbc="T T T"
Hf -1.6457 1.4013 3.7999
Hf -3.7396 2.5846 8.0235
Hf 0.1373 5.4209 3.7894
Hf -1.9566 6.5366 8.0130
Hf 0.9451 0.2337 2.4560
Hf -1.1489 3.7521 6.6796
Hf 2.3564 4.2196 1.7676
Hf 0.2624 7.7380 5.9912
Hf 3.1641 1.4351 0.4342
Hf 1.0702 2.5508 4.6578
Hf 4.9471 5.3872 0.4237
Hf 2.8532 6.5704 4.6473
Zn -2.3717 0.8721 6.4178
Zn -0.2778 3.1138 2.1942
Zn 1.4852 4.8579 6.2530
Zn 3.5792 7.0997 2.0294
Os 0.0000 0.0000 0.0000
Os -2.0939 3.9859 4.2236
```

Symmetry: P2_1/c (14)


10.
A geometry-optimized Te2PtW structure, computed with GGA-PBE.

extended XYZ file:
```
4
Lattice="-2.2740 2.2740 3.8068 2.2740 -2.2740 3.8068 2.2740 2.2740 -3.8068" Properties=species:S:1:pos:R:3 pbc="T T T"
Te 2.2740 0.0000 1.9034
Te 0.0000 2.2740 1.9034
Pt 0.0000 0.0000 0.0000
W 0.0000 0.0000 3.8068
```

ΔE to the lowest computed polymorph in eV/f.u.: 2.19
Symmetry: I4/mmm (139)


11.
A geometry-optimized ScHg4Pd7 structure, computed with GGA-PBE.

extended XYZ file:
```
12
Lattice="5.3529 -2.4513 0.0000 5.3529 2.4513 0.0000 -4.7657 0.0000 8.7360" Properties=species:S:1:pos:R:3 pbc="T T T"
Sc 0.0000 0.0000 0.0000
Hg -0.5987 0.0000 5.8209
Hg 3.3040 0.0000 1.9953
Hg 2.6361 0.0000 6.7407
Hg 6.5388 0.0000 2.9151
Pd -0.7540 0.0000 2.7571
Pd -2.1605 0.0000 8.0665
Pd 1.5848 0.0000 4.1992
Pd 5.3529 0.0000 0.0000
Pd 4.3553 0.0000 4.5368
Pd 8.1006 0.0000 0.6695
Pd 6.6941 0.0000 5.9789
```

Symmetry: C2/m (12)


12.
A geometry-optimized ThCu2Ni3 structure, computed with GGA-PBE.

extended XYZ file:
```
12
Lattice="3.4643 -5.4022 0.0000 3.4643 5.4022 0.0000 0.0000 0.0000 5.0821" Properties=species:S:1:pos:R:3 pbc="T T T"
Th 3.4643 3.4648 3.8116
Th 3.4643 -3.4648 1.2705
Cu 2.2193 0.0000 0.0000
Cu 2.2193 0.0000 2.5411
Cu 4.7092 0.0000 0.0000
Cu 4.7092 0.0000 2.5411
Ni 1.2415 1.7646 3.8116
Ni 1.2415 -1.7646 1.2705
Ni 3.4643 1.6585 1.2705
Ni 3.4643 -1.6585 3.8116
Ni 5.6870 1.7646 3.8116
Ni 5.6870 -1.7646 1.2705
```

Symmetry: Cmcm (63)


| no. | E (eV/atom) | total magnetization (μB per formula unit) |
| --- | --- | --- |
| 1 | -3.4497 | 0.000 |
| 2 | -5.1114 | 0.000 |
| 3 | -8.0335 | 0.000 |
| 4 | -4.5526 | 0.006 |
| 5 | -6.3931 | 0.000 |
| 6 | -6.7917 | 0.000 |
| 7 | -3.1122 | 0.000 |
| 8 | -3.6537 | 0.000 |
| 9 | -8.2449 | 0.000 |
| 10 | -5.7206 | 0.000 |
| 11 | -3.8052 | 0.000 |
| 12 | -5.5333 | 0.000 |